[1]
VASP calculation (PBE-GGA) on a geometry-optimized TaTiCoMo structure.

Calculated values
Formation energy from the elements ... -0.22 eV per atom
M_tot ... 0.00 μB per formula unit

CIF file:
```
data_TaTiCoMo
_chemical_formula_sum 'Ta1 Ti1 Co1 Mo1'
_cell_length_a 3.143
_cell_length_b 3.143
_cell_length_c 6.133
_cell_angle_alpha 90.00
_cell_angle_beta 90.00
_cell_angle_gamma 90.00
_space_group_name_H-M_alt 'P 4 m m'
_space_group_IT_number 99
loop_
_space_group_symop_operation_xyz
'x,y,z'
'-y,x,z'
'-x,-y,z'
'y,-x,z'
'-x,y,z'
'y,x,z'
'x,-y,z'
'-y,-x,z'
loop_
_atom_site_label
_atom_site_fract_x
_atom_site_fract_y
_atom_site_fract_z
Ta1 0.000 0.000 0.000
Ti1 0.000 0.000 0.489
Co1 0.500 0.500 0.242
Mo1 0.500 0.500 0.739
```

[2]
VASP calculation (PBE-GGA) on a geometry-optimized MnNbCoHSe2 structure.

Calculated values
Raw total energy ... -6.21 eV/atom
M_tot ... 0.50 μB per formula unit

CIF file:
```
data_MnNbCoHSe2
_chemical_formula_sum 'Mn1 Nb1 Co1 H1 Se2'
_cell_length_a 4.169
_cell_length_b 3.267
_cell_length_c 7.905
_cell_angle_alpha 90.00
_cell_angle_beta 104.35
_cell_angle_gamma 90.00
_space_group_name_H-M_alt 'P 1 m 1'
_space_group_IT_number 6
loop_
_space_group_symop_operation_xyz
'x,y,z'
'x,-y,z'
loop_
_atom_site_label
_atom_site_fract_x
_atom_site_fract_y
_atom_site_fract_z
Mn1 0.000 0.000 0.000
Nb1 0.594 0.000 0.199
Co1 0.469 0.500 0.933
H1 0.706 0.000 0.437
Se1 0.121 0.500 0.257
Se2 0.894 0.500 0.775
```

[3]
VASP calculation (PBE-GGA) on a geometry-optimized TaW structure.

Calculated values
Formation energy from the elements ... 0.39 eV per atom
M_tot ... 0.00 μB per formula unit

CIF file:
```
data_TaW
_chemical_formula_sum 'Ta2 W2'
_cell_length_a 3.0848
_cell_length_b 3.0848
_cell_length_c 8.5479
_cell_angle_alpha 90.00
_cell_angle_beta 90.00
_cell_angle_gamma 120.00
_space_group_name_H-M_alt 'P 63/m m c'
_space_group_IT_number 194
_space_group_name_Hall '-P 6c 2c'
loop_
_atom_site_label
_atom_site_fract_x
_atom_site_fract_y
_atom_site_fract_z
Ta1 0.0000 0.0000 0.0000
W1 0.3333 0.6667 0.2500
```

[4]
VASP calculation (PBE-GGA) on a geometry-optimized DyZr6P9O36 structure.

Calculated values
Formation energy without anion corrections ... -2.759 eV per atom
M_tot ... 0.00 μB per formula unit

CIF file:
```
data_DyZr6P9O36
_chemical_formula_sum 'Dy2 Zr12 P18 O72'
_cell_length_a 8.9739
_cell_length_b 8.9739
_cell_length_c 22.7469
_cell_angle_alpha 90.00
_cell_angle_beta 90.00
_cell_angle_gamma 120.00
_space_group_name_H-M_alt 'P -3 c 1'
_space_group_IT_number 165
_space_group_name_Hall '-P 3 2"c'
loop_
_atom_site_label
_atom_site_fract_x
_atom_site_fract_y
_atom_site_fract_z
Dy1 0.0000 0.0000 0.0000
Zr1 0.0000 0.0000 0.1485
Zr2 0.3333 0.6667 0.0319
Zr3 0.3333 0.6667 0.3124
P1 0.0000 0.2915 0.2500
P2 0.0549 0.3746 0.9218
O1 0.0266 0.1848 0.9235
O2 0.0300 0.2037 0.1955
O3 0.1235 0.4828 0.5792
O4 0.1540 0.4652 0.8662
O5 0.1557 0.4626 0.9778
O6 0.1588 0.4672 0.2594
```